InNiTe3Au: optimized geometry, PBE.

a = 12.868 Å, b = 3.894 Å, c = 13.107 Å
α = 90.00°, β = 90.00°, γ = 90.00°
Sites, in units of the cell vectors:
Au1 0.846 0.500 0.201
Au2 0.346 0.000 0.299
Au3 0.654 0.500 0.701
Au4 0.154 0.000 0.799
In1 0.006 0.000 0.207
In2 0.506 0.500 0.293
In3 0.494 0.000 0.707
In4 0.994 0.500 0.793
Ni1 0.245 0.500 0.080
Ni2 0.745 0.000 0.420
Ni3 0.255 0.500 0.580
Ni4 0.755 0.000 0.920
Te1 0.141 0.000 0.009
Te2 0.375 0.000 0.089
Te3 0.678 0.000 0.230
Te4 0.178 0.500 0.270
Te5 0.875 0.500 0.411
Te6 0.641 0.500 0.491
Te7 0.359 0.000 0.509
Te8 0.125 0.000 0.589
Te9 0.822 0.000 0.730
Te10 0.322 0.500 0.770
Te11 0.625 0.500 0.911
Te12 0.859 0.500 0.991

Computed properties:
Its space-group type is No. 62. For the energy above the most stable polymorph in this dataset, the calculation gives 0.0465 eV/atom.